Material: V3HgO8
Method: DFT, PBE+U
State: optimized geometry

**Volume**: 13.7 Å³/atom
**Raw total energy**: -6.712 eV per atom
**SG**: Cm (8)

Lattice parameters (Å, degrees): 6.310 6.310 7.864 107.94 107.94 33.80
Positions (direct):
V: 0.000 0.000 0.000
V: 0.082 0.082 0.481
V: 0.290 0.290 0.988
Hg: 0.346 0.346 0.511
O: 0.065 0.065 0.229
O: 0.138 0.138 0.931
O: 0.219 0.219 0.650
O: 0.331 0.331 0.212
O: 0.451 0.451 0.930
O: 0.577 0.577 0.457
O: 0.825 0.825 0.952
O: 0.964 0.964 0.569